No. 1
# As3POs2 PBE optimized geometry
data_As3POs2
_symmetry_space_group_name_H-M 'P 1 m 1'
_symmetry_Int_Tables_number 6
_cell_length_a 5.3920
_cell_length_b 3.0246
_cell_length_c 6.1755
_cell_angle_alpha 90.00
_cell_angle_beta 90.91
_cell_angle_gamma 90.00
loop_
_symmetry_equiv_pos_as_xyz
'x,y,z'
'x,-y,z'
loop_
_atom_site_label
_atom_site_type_symbol
_atom_site_fract_x
_atom_site_fract_y
_atom_site_fract_z
_atom_site_occupancy
As1 As 0.0000 0.0000 0.0000 1
As2 As 0.1658 0.5000 0.4938 1
As3 As 0.6580 0.0000 0.7289 1
P1 P 0.5025 0.5000 0.2302 1
Os1 Os 0.3339 0.5000 0.8748 1
Os2 Os 0.8141 0.0000 0.3588 1
# Total magnetization in μB per atom: 0.00



No. 2
# Zn3Ag PBE optimized geometry
data_Zn3Ag
_symmetry_space_group_name_H-M 'P m m n'
_symmetry_Int_Tables_number 59
_cell_length_a 4.4467
_cell_length_b 5.6136
_cell_length_c 4.8936
_cell_angle_alpha 90.00
_cell_angle_beta 90.00
_cell_angle_gamma 90.00
loop_
_symmetry_equiv_pos_as_xyz
'x,y,z'
'-x,-y,-z'
'-x+1/2,-y+1/2,z'
'x+1/2,y+1/2,-z'
'x+1/2,-y,-z'
'-x+1/2,y,z'
'-x,y+1/2,-z'
'x,-y+1/2,z'
loop_
_atom_site_label
_atom_site_type_symbol
_atom_site_fract_x
_atom_site_fract_y
_atom_site_fract_z
_atom_site_occupancy
Zn1 Zn 0.2500 0.0010 0.1629 1
Zn2 Zn 0.2500 0.7500 0.6775 1
Ag1 Ag 0.2500 0.2500 0.6595 1
# E_form in meV/atom: -43.8



No. 3
# Nb3CSN PBE optimized geometry
data_Nb3CSN
_symmetry_space_group_name_H-M 'P -3 m 1'
_symmetry_Int_Tables_number 164
_symmetry_space_group_name_Hall '-P 3 2"'
_cell_length_a 3.1934
_cell_length_b 3.1934
_cell_length_c 17.2882
_cell_angle_alpha 90.00
_cell_angle_beta 90.00
_cell_angle_gamma 120.00
loop_
_atom_site_label
_atom_site_type_symbol
_atom_site_fract_x
_atom_site_fract_y
_atom_site_fract_z
_atom_site_occupancy
Nb1 Nb 0.0000 0.0000 0.0000 1
Nb2 Nb 0.0000 0.0000 0.5000 1
Nb3 Nb 0.3333 0.6667 0.1441 1
Nb4 Nb 0.3333 0.6667 0.3539 1
C1 C 0.3333 0.6667 0.5756 1
S1 S 0.0000 0.0000 0.2469 1
N1 N 0.3333 0.6667 0.9280 1
# Total magnetization in μB per atom: 0.00



No. 4
# Lu3GeC2 PBE optimized geometry
data_Lu3GeC2
_symmetry_space_group_name_H-M 'P 63/m m c'
_symmetry_Int_Tables_number 194
_symmetry_space_group_name_Hall '-P 6c 2c'
_cell_length_a 3.4612
_cell_length_b 3.4612
_cell_length_c 20.7191
_cell_angle_alpha 90.00
_cell_angle_beta 90.00
_cell_angle_gamma 120.00
loop_
_atom_site_label
_atom_site_type_symbol
_atom_site_fract_x
_atom_site_fract_y
_atom_site_fract_z
_atom_site_occupancy
Lu1 Lu 0.0000 0.0000 0.0000 1
Lu2 Lu 0.3333 0.6667 0.1332 1
Ge1 Ge 0.0000 0.0000 0.2500 1
C1 C 0.3333 0.6667 0.5726 1
# Total magnetization in μB per atom: 0.02



No. 5
# HfZr2Ni4As4 PBE optimized geometry
data_HfZr2Ni4As4
_symmetry_space_group_name_H-M 'P 1 m 1'
_symmetry_Int_Tables_number 6
_cell_length_a 6.4324
_cell_length_b 3.8247
_cell_length_c 7.2786
_cell_angle_alpha 90.00
_cell_angle_beta 90.31
_cell_angle_gamma 90.00
loop_
_symmetry_equiv_pos_as_xyz
'x,y,z'
'x,-y,z'
loop_
_atom_site_label
_atom_site_type_symbol
_atom_site_fract_x
_atom_site_fract_y
_atom_site_fract_z
_atom_site_occupancy
Hf1 Hf 0.0000 0.0000 0.0000 1
Zr1 Zr 0.4905 0.0000 0.8633 1
Zr2 Zr 0.5424 0.5000 0.4880 1
Ni1 Ni 0.1670 0.5000 0.7360 1
Ni2 Ni 0.4004 0.0000 0.2383 1
Ni3 Ni 0.6605 0.5000 0.1184 1
Ni4 Ni 0.8777 0.0000 0.6209 1
As1 As 0.2424 0.0000 0.5451 1
As2 As 0.2775 0.5000 0.0753 1
As3 As 0.7857 0.0000 0.3025 1
As4 As 0.7905 0.5000 0.8016 1
# Total magnetization in μB per atom: 0.00
# Excess energy over the best structure of this formula in the dataset in meV per atom: 3



No. 6
A relaxed structure of KTlPdCl4. Source: the Open Quantum Materials Database, functional PBE.

Structure (CIF):
```
data_KTlPdCl4
_symmetry_space_group_name_H-M 'P m m m'
_symmetry_Int_Tables_number 47
_cell_length_a 4.1863
_cell_length_b 7.0879
_cell_length_c 7.1697
_cell_angle_alpha 90.00
_cell_angle_beta 90.00
_cell_angle_gamma 90.00
loop_
_symmetry_equiv_pos_as_xyz
'x,y,z'
'-x,-y,-z'
'-x,-y,z'
'x,y,-z'
'x,-y,-z'
'-x,y,z'
'-x,y,-z'
'x,-y,z'
loop_
_atom_site_label
_atom_site_type_symbol
_atom_site_fract_x
_atom_site_fract_y
_atom_site_fract_z
_atom_site_occupancy
K1 K 0.0000 0.0000 0.0000 1
Tl1 Tl 0.0000 0.5000 0.5000 1
Pd1 Pd 0.5000 0.5000 0.0000 1
Cl1 Cl 0.5000 0.2669 0.2287 1
```



no.,E (eV/atom)
1,-7.25
2,-1.70
3,-9.39
4,-6.51
5,-6.95
6,-3.39